Computed, not measured: a relaxed structure of FeSnP2O8 at the GGA+U level of DFT.

Lattice parameters (Å, degrees): 4.7242 4.7242 22.3291 90.00 90.00 120.00
Last column: nearest neighbours and their distance in Å.
Space group R-3 (No. 148, hexagonal axes)
Asymmetric unit:
Fe 0.0000 0.0000 0.0000  6 O 1.91
Sn 0.0000 0.0000 0.5000  12 O 2.79-3.11
P 0.0000 0.0000 0.2610  4 O 1.54-1.55
O 0.0000 0.0000 0.1919  1 P 1.54
O 0.0074 0.6393 0.3842  1 P 1.55

## Properties
polymorph energy (0 for the lowest one): 377 meV/atom
DOS at the Fermi energy: 7.945 states/eV per cell
magnetization: 2.0 μB per formula unit